# GGA-PBE ZnGaTe2, optimized geometry
# SG = I-42d (122)
# magnetic moment = 0.000 μB per cell
# uncorrected energy = -2.884 eV/atom
# uncorrected formation energy = -0.2384 eV/atom
data_ZnGaTe2
_chemical_formula_sum 'Zn2 Ga2 Te4'
_space_group_name_H-M_alt 'P 1'
_space_group_IT_number 1
_cell_length_a 6.391
_cell_length_b 6.391
_cell_length_c 7.864
_cell_angle_alpha 66.02
_cell_angle_beta 66.02
_cell_angle_gamma 90.00
loop_
_space_group_symop_operation_xyz
'x,y,z'
loop_
_atom_site_label
_atom_site_type_symbol
_atom_site_fract_x
_atom_site_fract_y
_atom_site_fract_z
Zn1 Zn 0.250 0.750 0.500
Te1 Te 0.875 0.855 0.750
Ga1 Ga 0.750 0.250 0.500
Ga2 Ga 0.000 0.000 0.000
Zn2 Zn 0.500 0.500 0.000
Te2 Te 0.605 0.125 0.250
Te3 Te 0.145 0.625 0.250
Te4 Te 0.375 0.395 0.750

# GGA-PBE ZnGa2Te4, optimized geometry
# SG = I-4 (82)
# magnetic moment = 0.000 μB per cell
# polymorph energy (0 for the lowest one) = 0.0 kJ/mol of atoms
# uncorrected energy = -3.224 eV/atom
# uncorrected formation energy = -0.3818 eV/atom
data_ZnGa2Te4
_chemical_formula_sum 'Zn1 Ga2 Te4'
_space_group_name_H-M_alt 'P 1'
_space_group_IT_number 1
_cell_length_a 7.381
_cell_length_b 7.381
_cell_length_c 7.381
_cell_angle_alpha 131.52
_cell_angle_beta 131.52
_cell_angle_gamma 70.98
loop_
_space_group_symop_operation_xyz
'x,y,z'
loop_
_atom_site_label
_atom_site_type_symbol
_atom_site_fract_x
_atom_site_fract_y
_atom_site_fract_z
Te1 Te 0.866 0.898 0.497
Te2 Te 0.102 0.599 0.968
Zn1 Zn 0.000 0.000 0.000
Te3 Te 0.401 0.369 0.503
Te4 Te 0.631 0.134 0.032
Ga1 Ga 0.250 0.750 0.500
Ga2 Ga 0.500 0.500 0.000

# GGA-PBE ZnGa2Te4, optimized geometry
# SG = I-4m2 (119)
# magnetic moment = 0.000 μB per cell
# polymorph energy (0 for the lowest one) = 28.4 kJ/mol of atoms
# uncorrected energy = -2.930 eV/atom
# uncorrected formation energy = -0.0876 eV/atom
data_ZnGa2Te4
_chemical_formula_sum 'Zn1 Ga2 Te4'
_space_group_name_H-M_alt 'P 1'
_space_group_IT_number 1
_cell_length_a 6.974
_cell_length_b 6.974
_cell_length_c 6.974
_cell_angle_alpha 130.83
_cell_angle_beta 130.83
_cell_angle_gamma 72.08
loop_
_space_group_symop_operation_xyz
'x,y,z'
loop_
_atom_site_label
_atom_site_type_symbol
_atom_site_fract_x
_atom_site_fract_y
_atom_site_fract_z
Te1 Te 0.752 0.752 0.000
Te2 Te 0.001 0.501 0.500
Te3 Te 0.248 0.248 0.000
Ga1 Ga 0.250 0.750 0.500
Ga2 Ga 0.500 0.500 0.000
Zn1 Zn 0.000 0.000 0.000
Te4 Te 0.499 0.999 0.500

# GGA-PBE ZnGa2Te2, optimized geometry
# SG = P4/mbm (127)
# magnetic moment = 0.000 μB per cell
# polymorph energy (0 for the lowest one) = 4.0 kJ/mol of atoms
# uncorrected energy = -2.675 eV/atom
# uncorrected formation energy = 0.0477 eV/atom
data_ZnGa2Te2
_chemical_formula_sum 'Zn2 Ga4 Te4'
_space_group_name_H-M_alt 'P 1'
_space_group_IT_number 1
_cell_length_a 7.974
_cell_length_b 7.974
_cell_length_c 3.852
_cell_angle_alpha 90.00
_cell_angle_beta 90.00
_cell_angle_gamma 90.00
loop_
_space_group_symop_operation_xyz
'x,y,z'
loop_
_atom_site_label
_atom_site_type_symbol
_atom_site_fract_x
_atom_site_fract_y
_atom_site_fract_z
Ga1 Ga 0.858 0.642 0.000
Zn1 Zn 0.500 0.500 0.000
Ga2 Ga 0.358 0.858 0.000
Zn2 Zn 0.000 0.000 0.000
Te1 Te 0.336 0.164 0.500
Te2 Te 0.836 0.336 0.500
Ga3 Ga 0.142 0.358 0.000
Te3 Te 0.664 0.836 0.500
Te4 Te 0.164 0.664 0.500
Ga4 Ga 0.642 0.142 0.000

# GGA-PBE Zn3GaTe4, optimized geometry
# SG = I-42m (121)
# magnetic moment = 0.000 μB per cell
# uncorrected energy = -2.769 eV/atom
# uncorrected formation energy = -0.3419 eV/atom
data_Zn3GaTe4
_chemical_formula_sum 'Zn3 Ga1 Te4'
_space_group_name_H-M_alt 'P 1'
_space_group_IT_number 1
_cell_length_a 6.296
_cell_length_b 6.296
_cell_length_c 7.699
_cell_angle_alpha 114.14
_cell_angle_beta 114.14
_cell_angle_gamma 90.00
loop_
_space_group_symop_operation_xyz
'x,y,z'
loop_
_atom_site_label
_atom_site_type_symbol
_atom_site_fract_x
_atom_site_fract_y
_atom_site_fract_z
Te1 Te 0.391 0.391 0.258
Zn1 Zn 0.500 0.500 0.000
Ga1 Ga 0.000 0.000 0.000
Te2 Te 0.132 0.609 0.742
Te3 Te 0.609 0.132 0.742
Te4 Te 0.868 0.868 0.258
Zn2 Zn 0.250 0.750 0.500
Zn3 Zn 0.750 0.250 0.500

# GGA-PBE Zn2GaTe4, optimized geometry
# SG = P-42m (111)
# magnetic moment = 0.000 μB per cell
# polymorph energy (0 for the lowest one) = 0.8 kJ/mol of atoms
# uncorrected energy = -2.890 eV/atom
# uncorrected formation energy = -0.2987 eV/atom
data_Zn2GaTe4
_chemical_formula_sum 'Zn2 Ga1 Te4'
_space_group_name_H-M_alt 'P 1'
_space_group_IT_number 1
_cell_length_a 6.088
_cell_length_b 6.088
_cell_length_c 5.824
_cell_angle_alpha 90.00
_cell_angle_beta 90.00
_cell_angle_gamma 90.00
loop_
_space_group_symop_operation_xyz
'x,y,z'
loop_
_atom_site_label
_atom_site_type_symbol
_atom_site_fract_x
_atom_site_fract_y
_atom_site_fract_z
Zn1 Zn 0.500 0.000 0.500
Te1 Te 0.266 0.734 0.769
Te2 Te 0.266 0.266 0.231
Ga1 Ga 0.000 0.000 0.000
Te3 Te 0.734 0.734 0.231
Te4 Te 0.734 0.266 0.769
Zn2 Zn 0.000 0.500 0.500

# GGA-PBE Zn4GaTe2, optimized geometry
# SG = I4/mmm (139)
# magnetic moment = 0.000 μB per cell
# uncorrected energy = -1.897 eV/atom
# uncorrected formation energy = 0.1609 eV/atom
data_Zn4GaTe2
_chemical_formula_sum 'Zn4 Ga1 Te2'
_space_group_name_H-M_alt 'P 1'
_space_group_IT_number 1
_cell_length_a 5.137
_cell_length_b 5.137
_cell_length_c 7.700
_cell_angle_alpha 70.52
_cell_angle_beta 70.52
_cell_angle_gamma 90.00
loop_
_space_group_symop_operation_xyz
'x,y,z'
loop_
_atom_site_label
_atom_site_type_symbol
_atom_site_fract_x
_atom_site_fract_y
_atom_site_fract_z
Zn1 Zn 0.823 0.823 0.353
Zn2 Zn 0.500 0.000 0.000
Te1 Te 0.365 0.365 0.270
Ga1 Ga 0.000 0.000 0.000
Zn3 Zn 0.177 0.177 0.647
Te2 Te 0.635 0.635 0.730
Zn4 Zn 0.000 0.500 0.000

# GGA-PBE ZrGaTe, optimized geometry
# SG = P4/nmm (129)
# magnetic moment = 0.000 μB per cell
# uncorrected energy = -5.586 eV/atom
# uncorrected formation energy = -0.6803 eV/atom
data_ZrGaTe
_chemical_formula_sum 'Zr2 Ga2 Te2'
_space_group_name_H-M_alt 'P 1'
_space_group_IT_number 1
_cell_length_a 3.891
_cell_length_b 3.891
_cell_length_c 8.781
_cell_angle_alpha 90.00
_cell_angle_beta 90.00
_cell_angle_gamma 90.00
loop_
_space_group_symop_operation_xyz
'x,y,z'
loop_
_atom_site_label
_atom_site_type_symbol
_atom_site_fract_x
_atom_site_fract_y
_atom_site_fract_z
Zr1 Zr 0.500 0.000 0.256
Zr2 Zr 0.000 0.500 0.744
Te1 Te 0.500 0.000 0.626
Ga1 Ga 0.000 0.000 0.000
Te2 Te 0.000 0.500 0.374
Ga2 Ga 0.500 0.500 0.000